No. 1
{"formula": "ScTl2Zn", "functional": "PBEsol", "state": "optimized geometry", "lattice": [[0.000, 3.541, 3.541], [3.541, 0.000, 3.541], [3.541, 3.541, 0.000]], "species": ["Sc", "Tl", "Tl", "Zn"], "frac_coords": [[0.000, 0.000, 0.000], [0.250, 0.250, 0.250], [0.500, 0.500, 0.500], [0.750, 0.750, 0.750]], "formation_energy_kj_per_mol_fu": 20, "rho_g_cm3": 9.71, "vol_a3_per_fu": 88.8, "relative_energy_mev_per_atom": 100, "dos_at_fermi_per_ev_cell": 2.4}


No. 2
{"formula": "Zr2ScTl", "functional": "PBEsol", "state": "optimized geometry", "lattice": [[3.247, 0.000, 0.000], [0.000, 4.162, 0.000], [0.000, 0.000, 6.512]], "species": ["Zr", "Zr", "Sc", "Tl"], "frac_coords": [[0.000, 0.000, 0.000], [0.500, 0.500, 0.240], [0.000, 0.000, 0.497], [0.500, 0.500, 0.741]], "formation_energy_kj_per_mol_fu": -54, "rho_g_cm3": 8.15, "vol_a3_per_fu": 88.0, "relative_energy_mev_per_atom": 57, "dos_at_fermi_per_ev_cell": 5.1}


No. 3
{"formula": "Zr2ScTl", "functional": "PBEsol", "state": "optimized geometry", "lattice": [[3.207, 0.000, 0.000], [0.000, 3.207, 0.000], [0.000, 0.000, 8.659]], "species": ["Zr", "Zr", "Sc", "Tl"], "frac_coords": [[0.000, 0.000, 0.000], [0.500, 0.500, 0.255], [0.000, 0.000, 0.505], [0.500, 0.500, 0.749]], "formation_energy_kj_per_mol_fu": -52, "rho_g_cm3": 8.05, "vol_a3_per_fu": 89.0, "relative_energy_mev_per_atom": 63, "dos_at_fermi_per_ev_cell": 3.5}


No. 4
{"formula": "Zr2ScTl", "functional": "PBEsol", "state": "optimized geometry", "lattice": [[4.375, 0.000, 0.000], [0.000, 4.375, 0.000], [0.000, 0.000, 4.495]], "species": ["Zr", "Zr", "Sc", "Tl"], "frac_coords": [[0.000, 0.500, 0.000], [0.500, 0.000, 0.000], [0.000, 0.000, 0.500], [0.500, 0.500, 0.500]], "formation_energy_kj_per_mol_fu": -71, "rho_g_cm3": 8.33, "vol_a3_per_fu": 86.0, "relative_energy_mev_per_atom": 13, "dos_at_fermi_per_ev_cell": 4.8}


No. 5
{"formula": "Zr2ScTl", "functional": "PBEsol", "state": "optimized geometry", "lattice": [[-2.168, 2.168, 4.620], [2.168, -2.168, 4.620], [2.168, 2.168, -4.620]], "species": ["Zr", "Zr", "Sc", "Tl"], "frac_coords": [[0.000, 0.000, 0.000], [0.750, 0.250, 0.500], [0.500, 0.500, 0.000], [0.250, 0.750, 0.500]], "formation_energy_kj_per_mol_fu": -62, "rho_g_cm3": 8.26, "vol_a3_per_fu": 86.8, "relative_energy_mev_per_atom": 37, "dos_at_fermi_per_ev_cell": 3.2}


No. 6
{"formula": "ZrScTl", "functional": "PBEsol", "state": "optimized geometry", "lattice": [[-1.675, 1.675, 5.993], [1.675, -1.675, 5.993], [1.675, 1.675, -5.993]], "species": ["Zr", "Sc", "Tl"], "frac_coords": [[0.000, 0.000, 0.000], [0.668, 0.668, 0.000], [0.331, 0.331, 0.000]], "formation_energy_kj_per_mol_fu": -60, "rho_g_cm3": 8.41, "vol_a3_per_fu": 67.2, "dos_at_fermi_per_ev_cell": 1.8}


No. 7
{"formula": "Zr2ScTl", "functional": "PBEsol", "state": "optimized geometry", "lattice": [[-2.146, 2.146, 4.699], [2.146, -2.146, 4.699], [2.146, 2.146, -4.699]], "species": ["Zr", "Zr", "Sc", "Tl"], "frac_coords": [[0.250, 0.750, 0.500], [0.750, 0.250, 0.500], [0.000, 0.000, 0.000], [0.500, 0.500, 0.000]], "formation_energy_kj_per_mol_fu": -76, "rho_g_cm3": 8.28, "vol_a3_per_fu": 86.6, "relative_energy_mev_per_atom": 0, "dos_at_fermi_per_ev_cell": 4.4}


No. 8
{"formula": "TmScZn2", "functional": "PBEsol", "state": "optimized geometry", "lattice": [[0.000, 3.381, 3.381], [3.381, 0.000, 3.381], [3.381, 3.381, 0.000]], "species": ["Tm", "Sc", "Zn", "Zn"], "frac_coords": [[0.000, 0.000, 0.000], [0.500, 0.500, 0.500], [0.250, 0.250, 0.250], [0.750, 0.750, 0.750]], "formation_energy_kj_per_mol_fu": -140, "rho_g_cm3": 7.41, "vol_a3_per_fu": 77.3, "dos_at_fermi_per_ev_cell": 3.8}


No. 9
{"formula": "ScW", "functional": "PBEsol", "state": "optimized geometry", "lattice": [[3.273, 0.000, 0.000], [0.000, 3.273, 0.000], [0.000, 0.000, 3.273]], "species": ["Sc", "W"], "frac_coords": [[0.000, 0.000, 0.000], [0.500, 0.500, 0.500]], "formation_energy_kj_per_mol_fu": 119, "rho_g_cm3": 10.83, "vol_a3_per_fu": 35.1, "relative_energy_mev_per_atom": 508, "dos_at_fermi_per_ev_cell": 3.4}


No. 10
{"formula": "ScW2", "functional": "PBEsol", "state": "optimized geometry", "lattice": [[-1.344, 1.344, 7.075], [1.344, -1.344, 7.075], [1.344, 1.344, -7.075]], "species": ["Sc", "W", "W"], "frac_coords": [[0.000, 0.000, 0.000], [0.331, 0.331, 0.000], [0.669, 0.669, 0.000]], "formation_energy_kj_per_mol_fu": 118, "rho_g_cm3": 13.41, "vol_a3_per_fu": 51.1, "dos_at_fermi_per_ev_cell": 2.4}


No. 11
{"formula": "Sc3W", "functional": "PBEsol", "state": "optimized geometry", "lattice": [[1.515, 0.875, 10.190], [-1.515, 0.875, 10.190], [0.000, -1.749, 10.190]], "species": ["Sc", "Sc", "Sc", "W"], "frac_coords": [[0.000, 0.000, 0.000], [0.243, 0.243, 0.243], [0.757, 0.757, 0.757], [0.500, 0.500, 0.500]], "formation_energy_kj_per_mol_fu": 122, "rho_g_cm3": 6.53, "vol_a3_per_fu": 81.0, "relative_energy_mev_per_atom": 52, "dos_at_fermi_per_ev_cell": 6.2}


No. 12
{"formula": "ScW", "functional": "PBEsol", "state": "optimized geometry", "lattice": [[3.200, 0.000, 0.000], [0.000, 3.200, 0.000], [0.000, 0.000, 7.463]], "species": ["Sc", "Sc", "W", "W"], "frac_coords": [[0.250, 0.250, 0.171], [0.750, 0.750, 0.829], [0.250, 0.250, 0.594], [0.750, 0.750, 0.406]], "formation_energy_kj_per_mol_fu": 21, "rho_g_cm3": 9.94, "vol_a3_per_fu": 38.2, "relative_energy_mev_per_atom": 0, "dos_at_fermi_per_ev_cell": 3.6}